A plane-wave DFT calculation with PBE-GGA was carried out for a relaxed structure of BaSi2As.

Lattice parameters (Å, degrees): 4.6283 4.6283 8.9640 90.00 90.00 90.00
Closest atoms and distances in Å follow each position.
Sites, in units of the cell vectors:
1 Ba 0.0000 0.0000 0.0000  4 As 3.22, 8 Si 3.22-3.27
2 Ba 0.5000 0.5000 0.5000  4 As 3.22, 8 Si 3.22-3.27
3 Si 0.0000 0.0000 0.5000  4 As 3.22, 4 Si 3.22, 4 Ba 3.27
4 Si 0.0000 0.5000 0.7500  4 Ba 3.22, 4 Si 3.22, 4 As 3.27
5 Si 0.5000 0.0000 0.2500  4 Ba 3.22, 4 Si 3.22, 4 As 3.27
6 Si 0.5000 0.5000 0.0000  4 As 3.22, 4 Si 3.22, 4 Ba 3.27
7 As 0.0000 0.5000 0.2500  4 Ba 3.22, 8 Si 3.22-3.27
8 As 0.5000 0.0000 0.7500  4 Ba 3.22, 8 Si 3.22-3.27

Properties
E_form (uncorrected): 0.25 eV/atom
Size of the total moment: 0.00 μB per cell
Raw total energy: -4.103 eV/atom
Crystal system: tetragonal
Symmetry: No. 119
DOS(E_F): 4.8 states/eV/cell